The following is a DFT calculation (PBE-GGA) of a relaxed Pm6DyEr2Th crystal.

CIF file:
```
data_Pm6DyEr2Th
_space_group_name_H-M_alt 'C 1 2/c 1'
_space_group_IT_number 15
_space_group_name_Hall '-C 2yc'
_cell_length_a 10.4078
_cell_length_b 18.1079
_cell_length_c 7.5928
_cell_angle_alpha 90.00
_cell_angle_beta 109.59
_cell_angle_gamma 90.00
loop_
_atom_site_label
_atom_site_type_symbol
_atom_site_fract_x
_atom_site_fract_y
_atom_site_fract_z
Pm1 Pm 0.0096 0.1300 0.0436
Pm2 Pm 0.1751 0.3423 0.5559
Pm3 Pm 0.1846 0.3300 0.1082
Dy1 Dy 0.0000 0.2446 0.7500
Er1 Er 0.1767 0.0073 0.8327
Th1 Th 0.0000 0.4879 0.7500
```

Results
VASP energy in eV for the cell shown: -189.9

---

The following is a DFT calculation (PBE-GGA) of a relaxed Pm2DyEr4Th crystal.

CIF file:
```
data_Pm2DyEr4Th
_space_group_name_H-M_alt 'P m m m'
_space_group_IT_number 47
_space_group_name_Hall '-P 2 2'
_cell_length_a 5.0522
_cell_length_b 5.0684
_cell_length_c 9.9406
_cell_angle_alpha 90.00
_cell_angle_beta 90.00
_cell_angle_gamma 90.00
loop_
_atom_site_label
_atom_site_type_symbol
_atom_site_fract_x
_atom_site_fract_y
_atom_site_fract_z
Pm1 Pm 0.0000 0.0000 0.0000
Pm2 Pm 0.5000 0.5000 0.5000
Dy1 Dy 0.0000 0.0000 0.5000
Er1 Er 0.0000 0.5000 0.2472
Er2 Er 0.5000 0.0000 0.2469
Th1 Th 0.5000 0.5000 0.0000
```

Results
VASP energy in eV for the cell shown: -39.5

---

The following is a DFT calculation (PBE-GGA) of a relaxed PmDy2Er4Th crystal.

CIF file:
```
data_PmDy2Er4Th
_space_group_name_H-M_alt 'I m m a'
_space_group_IT_number 74
_space_group_name_Hall '-I 2b 2'
_cell_length_a 6.7496
_cell_length_b 11.7282
_cell_length_c 13.2263
_cell_angle_alpha 90.00
_cell_angle_beta 90.00
_cell_angle_gamma 90.00
loop_
_atom_site_label
_atom_site_type_symbol
_atom_site_fract_x
_atom_site_fract_y
_atom_site_fract_z
Pm1 Pm 0.2500 0.2500 0.2500
Dy1 Dy 0.0000 0.0000 0.0000
Dy2 Dy 0.2500 0.2500 0.7500
Er1 Er 0.0000 0.0019 0.7510
Er2 Er 0.2455 0.2500 0.5026
Th1 Th 0.0000 0.0000 0.5000
```

Results
VASP energy in eV for the cell shown: -144.2

---

The following is a DFT calculation (PBE-GGA) of a relaxed PmDy5ErTh2 crystal.

CIF file:
```
data_PmDy5ErTh2
_space_group_name_H-M_alt 'I 4/m c m'
_space_group_IT_number 140
_space_group_name_Hall '-I 4 2c'
_cell_length_a 8.8394
_cell_length_b 8.8394
_cell_length_c 15.2920
_cell_angle_alpha 90.00
_cell_angle_beta 90.00
_cell_angle_gamma 90.00
loop_
_atom_site_label
_atom_site_type_symbol
_atom_site_fract_x
_atom_site_fract_y
_atom_site_fract_z
Pm1 Pm 0.0000 0.0000 0.2500
Dy1 Dy 0.0000 0.0000 0.0000
Dy2 Dy 0.2087 0.2913 0.1382
Er1 Er 0.0000 0.5000 0.2500
Th1 Th 0.1190 0.3810 0.5000
```

Results
VASP energy in eV for the cell shown: -176.4

---

The following is a DFT calculation (PBE-GGA) of a relaxed Pm2DyEr5Th crystal.

CIF file:
```
data_Pm2DyEr5Th
_space_group_name_H-M_alt 'I 4/m c m'
_space_group_IT_number 140
_space_group_name_Hall '-I 4 2c'
_cell_length_a 8.6842
_cell_length_b 8.6842
_cell_length_c 15.2483
_cell_angle_alpha 90.00
_cell_angle_beta 90.00
_cell_angle_gamma 90.00
loop_
_atom_site_label
_atom_site_type_symbol
_atom_site_fract_x
_atom_site_fract_y
_atom_site_fract_z
Pm1 Pm 0.1155 0.3845 0.0000
Dy1 Dy 0.0000 0.5000 0.2500
Er1 Er 0.0000 0.0000 0.0000
Er2 Er 0.2126 0.2874 0.3612
Th1 Th 0.0000 0.0000 0.2500
```

Results
VASP energy in eV for the cell shown: -166.7

---

The following is a DFT calculation (PBE-GGA) of a relaxed Pm3DyEr6Th2 crystal.

CIF file:
```
data_Pm3DyEr6Th2
_space_group_name_H-M_alt 'C 1 2/m 1'
_space_group_IT_number 12
_space_group_name_Hall '-C 2y'
_cell_length_a 6.1751
_cell_length_b 10.6895
_cell_length_c 11.7122
_cell_angle_alpha 90.00
_cell_angle_beta 100.14
_cell_angle_gamma 90.00
loop_
_atom_site_label
_atom_site_type_symbol
_atom_site_fract_x
_atom_site_fract_y
_atom_site_fract_z
Pm1 Pm 0.0000 0.0000 0.0000
Pm2 Pm 0.0000 0.3338 0.0000
Dy1 Dy 0.0000 0.5000 0.5000
Er1 Er 0.2445 0.0000 0.7459
Er2 Er 0.2494 0.1687 0.2544
Th1 Th 0.0000 0.1666 0.5000
```

Results
VASP energy in eV for the cell shown: -121.7

---

The following is a DFT calculation (PBE-GGA) of a relaxed Pm5DyEr2Th crystal.

CIF file:
```
data_Pm5DyEr2Th
_space_group_name_H-M_alt 'C m c 21'
_space_group_IT_number 36
_space_group_name_Hall 'C 2c -2'
_cell_length_a 5.6320
_cell_length_b 20.4092
_cell_length_c 10.5891
_cell_angle_alpha 90.00
_cell_angle_beta 90.00
_cell_angle_gamma 90.00
loop_
_atom_site_label
_atom_site_type_symbol
_atom_site_fract_x
_atom_site_fract_y
_atom_site_fract_z
Pm1 Pm 0.0000 0.0143 0.0000
Pm2 Pm 0.0000 0.2771 0.2920
Pm3 Pm 0.0000 0.2932 0.6841
Pm4 Pm 0.0000 0.3869 0.0061
Pm5 Pm 0.0000 0.4805 0.7247
Dy1 Dy 0.0000 0.4065 0.4374
Er1 Er 0.0000 0.1118 0.7190
Er2 Er 0.0000 0.1156 0.2924
Th1 Th 0.0000 0.1994 0.9917
```

Results
VASP energy in eV for the cell shown: -173.9

---

The following is a DFT calculation (PBE-GGA) of a relaxed Pm6Dy3Er2Th crystal.

CIF file:
```
data_Pm6Dy3Er2Th
_space_group_name_H-M_alt 'C 1 2/m 1'
_space_group_IT_number 12
_space_group_name_Hall '-C 2y'
_cell_length_a 6.2303
_cell_length_b 10.7803
_cell_length_c 11.9148
_cell_angle_alpha 90.00
_cell_angle_beta 100.06
_cell_angle_gamma 90.00
loop_
_atom_site_label
_atom_site_type_symbol
_atom_site_fract_x
_atom_site_fract_y
_atom_site_fract_z
Pm1 Pm 0.2466 0.0000 0.2513
Pm2 Pm 0.2487 0.1652 0.7490
Dy1 Dy 0.0000 0.1669 0.0000
Dy2 Dy 0.0000 0.5000 0.0000
Er1 Er 0.0000 0.3333 0.5000
Th1 Th 0.0000 0.0000 0.5000
```

Results
VASP energy in eV for the cell shown: -117.0

---

The following is a DFT calculation (PBE-GGA) of a relaxed PmDy2ErTl4 crystal.

CIF file:
```
data_PmDy2ErTl4
_space_group_name_H-M_alt 'R -3 m'
_space_group_IT_number 166
_space_group_name_Hall '-R 3 2"'
_cell_length_a 5.3868
_cell_length_b 5.3868
_cell_length_c 26.4810
_cell_angle_alpha 90.00
_cell_angle_beta 90.00
_cell_angle_gamma 120.00
loop_
_atom_site_label
_atom_site_type_symbol
_atom_site_fract_x
_atom_site_fract_y
_atom_site_fract_z
Pm1 Pm 0.0000 0.0000 0.0000
Dy1 Dy 0.0000 0.0000 0.2493
Er1 Er 0.0000 0.0000 0.5000
Tl1 Tl 0.0000 0.0000 0.1263
Tl2 Tl 0.0000 0.0000 0.3764
```

Results
VASP energy in eV for the cell shown: -92.2

---

The following is a DFT calculation (PBE-GGA) of a relaxed PmDyEr2Tl4 crystal.

CIF file:
```
data_PmDyEr2Tl4
_space_group_name_H-M_alt 'R -3 m'
_space_group_IT_number 166
_space_group_name_Hall '-R 3 2"'
_cell_length_a 5.3766
_cell_length_b 5.3766
_cell_length_c 26.4257
_cell_angle_alpha 90.00
_cell_angle_beta 90.00
_cell_angle_gamma 120.00
loop_
_atom_site_label
_atom_site_type_symbol
_atom_site_fract_x
_atom_site_fract_y
_atom_site_fract_z
Pm1 Pm 0.0000 0.0000 0.0000
Dy1 Dy 0.0000 0.0000 0.5000
Er1 Er 0.0000 0.0000 0.2496
Tl1 Tl 0.0000 0.0000 0.1261
Tl2 Tl 0.0000 0.0000 0.3762
```

Results
VASP energy in eV for the cell shown: -91.9

---

The following is a DFT calculation (PBE-GGA) of a relaxed Pm3Dy6Er2Tl crystal.

CIF file:
```
data_Pm3Dy6Er2Tl
_space_group_name_H-M_alt 'C 1 2/m 1'
_space_group_IT_number 12
_space_group_name_Hall '-C 2y'
_cell_length_a 6.1432
_cell_length_b 10.6445
_cell_length_c 11.6413
_cell_angle_alpha 90.00
_cell_angle_beta 100.21
_cell_angle_gamma 90.00
loop_
_atom_site_label
_atom_site_type_symbol
_atom_site_fract_x
_atom_site_fract_y
_atom_site_fract_z
Pm1 Pm 0.0000 0.0000 0.0000
Pm2 Pm 0.0000 0.3330 0.0000
Dy1 Dy 0.2449 0.3356 0.7436
Dy2 Dy 0.2482 0.5000 0.2549
Er1 Er 0.0000 0.1661 0.5000
Tl1 Tl 0.0000 0.5000 0.5000
```

Results
VASP energy in eV for the cell shown: -106.9

---

The following is a DFT calculation (PBE-GGA) of a relaxed Pm2DyErTl2 crystal.

CIF file:
```
data_Pm2DyErTl2
_space_group_name_H-M_alt 'P m c 21'
_space_group_IT_number 26
_space_group_name_Hall 'P 2c -2'
_cell_length_a 5.1372
_cell_length_b 10.1415
_cell_length_c 6.8526
_cell_angle_alpha 90.00
_cell_angle_beta 90.00
_cell_angle_gamma 90.00
loop_
_atom_site_label
_atom_site_type_symbol
_atom_site_fract_x
_atom_site_fract_y
_atom_site_fract_z
Pm1 Pm 0.0000 0.0424 0.0000
Pm2 Pm 0.5000 0.1869 0.2734
Dy1 Dy 0.5000 0.4588 0.9068
Er1 Er 0.0000 0.3157 0.6253
Tl1 Tl 0.0000 0.3737 0.1631
Tl2 Tl 0.5000 0.1441 0.7433
```

Results
VASP energy in eV for the cell shown: -50.0

---

The following is a DFT calculation (PBE-GGA) of a relaxed PmDy2ErTl2 crystal.

CIF file:
```
data_PmDy2ErTl2
_space_group_name_H-M_alt 'P m c 21'
_space_group_IT_number 26
_space_group_name_Hall 'P 2c -2'
_cell_length_a 5.1209
_cell_length_b 10.0087
_cell_length_c 6.8462
_cell_angle_alpha 90.00
_cell_angle_beta 90.00
_cell_angle_gamma 90.00
loop_
_atom_site_label
_atom_site_type_symbol
_atom_site_fract_x
_atom_site_fract_y
_atom_site_fract_z
Pm1 Pm 0.0000 0.0436 0.0000
Dy1 Dy 0.0000 0.3169 0.3779
Dy2 Dy 0.5000 0.4549 0.0929
Er1 Er 0.5000 0.1915 0.7193
Tl1 Tl 0.0000 0.3659 0.8384
Tl2 Tl 0.5000 0.1346 0.2621
```

Results
VASP energy in eV for the cell shown: -49.7

---

The following is a DFT calculation (PBE-GGA) of a relaxed PmDyEr2Tl2 crystal.

CIF file:
```
data_PmDyEr2Tl2
_space_group_name_H-M_alt 'P m c 21'
_space_group_IT_number 26
_space_group_name_Hall 'P 2c -2'
_cell_length_a 5.1158
_cell_length_b 10.0047
_cell_length_c 6.8007
_cell_angle_alpha 90.00
_cell_angle_beta 90.00
_cell_angle_gamma 90.00
loop_
_atom_site_label
_atom_site_type_symbol
_atom_site_fract_x
_atom_site_fract_y
_atom_site_fract_z
Pm1 Pm 0.0000 0.0414 0.0000
Dy1 Dy 0.5000 0.1912 0.7220
Er1 Er 0.0000 0.3176 0.3753
Er2 Er 0.5000 0.4574 0.0910
Tl1 Tl 0.0000 0.3684 0.8375
Tl2 Tl 0.5000 0.1396 0.2591
```

Results
VASP energy in eV for the cell shown: -49.6

---

The following is a DFT calculation (PBE-GGA) of a relaxed Pm6Dy3Er2Tl crystal.

CIF file:
```
data_Pm6Dy3Er2Tl
_space_group_name_H-M_alt 'C 1 2/m 1'
_space_group_IT_number 12
_space_group_name_Hall '-C 2y'
_cell_length_a 6.1826
_cell_length_b 10.7349
_cell_length_c 11.7519
_cell_angle_alpha 90.00
_cell_angle_beta 100.24
_cell_angle_gamma 90.00
loop_
_atom_site_label
_atom_site_type_symbol
_atom_site_fract_x
_atom_site_fract_y
_atom_site_fract_z
Pm1 Pm 0.2463 0.0000 0.2511
Pm2 Pm 0.2463 0.1644 0.7473
Dy1 Dy 0.0000 0.1676 0.0000
Dy2 Dy 0.0000 0.5000 0.0000
Er1 Er 0.0000 0.3339 0.5000
Tl1 Tl 0.0000 0.0000 0.5000
```

Results
VASP energy in eV for the cell shown: -107.8

---

The following is a DFT calculation (PBE-GGA) of a relaxed Pm2Dy2Er2Tm crystal.

CIF file:
```
data_Pm2Dy2Er2Tm
_space_group_name_H-M_alt 'R -3 m'
_space_group_IT_number 166
_space_group_name_Hall '-R 3 2"'
_cell_length_a 5.6549
_cell_length_b 5.6549
_cell_length_c 24.4294
_cell_angle_alpha 90.00
_cell_angle_beta 90.00
_cell_angle_gamma 120.00
loop_
_atom_site_label
_atom_site_type_symbol
_atom_site_fract_x
_atom_site_fract_y
_atom_site_fract_z
Pm1 Pm 0.0000 0.0000 0.1385
Dy1 Dy 0.0000 0.0000 0.2860
Er1 Er 0.0000 0.0000 0.4275
Tm1 Tm 0.0000 0.0000 0.0000
```

Results
VASP energy in eV for the cell shown: -94.0

---

The following is a DFT calculation (PBE-GGA) of a relaxed PmDy2ErTm6 crystal.

CIF file:
```
data_PmDy2ErTm6
_space_group_name_H-M_alt 'C 1 2/c 1'
_space_group_IT_number 15
_space_group_name_Hall '-C 2yc'
_cell_length_a 8.9700
_cell_length_b 14.8979
_cell_length_c 9.4274
_cell_angle_alpha 90.00
_cell_angle_beta 97.12
_cell_angle_gamma 90.00
loop_
_atom_site_label
_atom_site_type_symbol
_atom_site_fract_x
_atom_site_fract_y
_atom_site_fract_z
Pm1 Pm 0.0000 0.0245 0.2500
Dy1 Dy 0.2491 0.4466 0.4540
Er1 Er 0.0000 0.4095 0.7500
Tm1 Tm 0.0624 0.1884 0.9420
Tm2 Tm 0.1009 0.3915 0.1178
Tm3 Tm 0.2060 0.2256 0.3165
```

Results
VASP energy in eV for the cell shown: -176.5

---

The following is a DFT calculation (PBE-GGA) of a relaxed Pm3DyEr2Tm6 crystal.

CIF file:
```
data_Pm3DyEr2Tm6
_space_group_name_H-M_alt 'C 1 2/m 1'
_space_group_IT_number 12
_space_group_name_Hall '-C 2y'
_cell_length_a 6.1333
_cell_length_b 10.6147
_cell_length_c 11.6659
_cell_angle_alpha 90.00
_cell_angle_beta 100.07
_cell_angle_gamma 90.00
loop_
_atom_site_label
_atom_site_type_symbol
_atom_site_fract_x
_atom_site_fract_y
_atom_site_fract_z
Pm1 Pm 0.0000 0.0000 0.0000
Pm2 Pm 0.0000 0.3333 0.0000
Dy1 Dy 0.0000 0.5000 0.5000
Er1 Er 0.0000 0.1667 0.5000
Tm1 Tm 0.2487 0.0000 0.7466
Tm2 Tm 0.2489 0.3333 0.7467
```

Results
VASP energy in eV for the cell shown: -109.1

---

The following is a DFT calculation (PBE-GGA) of a relaxed Pm6DyEr3Tm2 crystal.

CIF file:
```
data_Pm6DyEr3Tm2
_space_group_name_H-M_alt 'C 1 2/m 1'
_space_group_IT_number 12
_space_group_name_Hall '-C 2y'
_cell_length_a 6.2143
_cell_length_b 10.7607
_cell_length_c 11.7446
_cell_angle_alpha 90.00
_cell_angle_beta 100.12
_cell_angle_gamma 90.00
loop_
_atom_site_label
_atom_site_type_symbol
_atom_site_fract_x
_atom_site_fract_y
_atom_site_fract_z
Pm1 Pm 0.2500 0.0000 0.2501
Pm2 Pm 0.2504 0.1668 0.7499
Dy1 Dy 0.0000 0.0000 0.5000
Er1 Er 0.0000 0.1667 0.0000
Er2 Er 0.0000 0.5000 0.0000
Tm1 Tm 0.0000 0.3333 0.5000
```

Results
VASP energy in eV for the cell shown: -111.1